Entry 1:
The following is a PBE-GGA calculation of Li2CaSm2Sb2 after structural relaxation, from Alexandria.

Cell and atoms, written as CIF:
```
data_Li2CaSm2Sb2
_chemical_formula_sum 'Li6 Ca3 Sm6 Sb6'
_space_group_name_H-M_alt 'R -3 m'
_space_group_IT_number 166
_space_group_name_Hall '-R 3 2"'
_cell_length_a 4.7964
_cell_length_b 4.7964
_cell_length_c 27.5122
_cell_angle_alpha 90.00
_cell_angle_beta 90.00
_cell_angle_gamma 120.00
loop_
_atom_site_label
_atom_site_type_symbol
_atom_site_fract_x
_atom_site_fract_y
_atom_site_fract_z
_atom_site_occupancy
Li1 Li 0.0000 0.0000 0.0932 1
Ca1 Ca 0.0000 0.0000 0.5000 1
Sm1 Sm 0.0000 0.0000 0.3690 1
Sb1 Sb 0.0000 0.0000 0.2385 1
```



Entry 2:
The following is a PBE-GGA calculation of Sr2Li3CaSb4 after structural relaxation, from Alexandria.

Cell and atoms, written as CIF:
```
data_Sr2Li3CaSb4
_chemical_formula_sum 'Sr2 Li3 Ca1 Sb4'
_space_group_name_H-M_alt 'P -4 m 2'
_space_group_IT_number 115
_cell_length_a 4.7647
_cell_length_b 4.7647
_cell_length_c 12.1610
_cell_angle_alpha 90.00
_cell_angle_beta 90.00
_cell_angle_gamma 90.00
loop_
_space_group_symop_operation_xyz
'x,y,z'
'y,-x,-z'
'-x,-y,z'
'-y,x,-z'
'-x,y,z'
'-y,-x,-z'
'x,-y,z'
'y,x,-z'
loop_
_atom_site_label
_atom_site_type_symbol
_atom_site_fract_x
_atom_site_fract_y
_atom_site_fract_z
_atom_site_occupancy
Sr1 Sr 0.0000 0.5000 0.2246 1
Li1 Li 0.0000 0.5000 0.8759 1
Li2 Li 0.5000 0.5000 0.5000 1
Ca1 Ca 0.0000 0.0000 0.5000 1
Sb1 Sb 0.0000 0.0000 0.0000 1
Sb2 Sb 0.0000 0.5000 0.6563 1
Sb3 Sb 0.5000 0.5000 0.0000 1
```



Entry 3:
The following is a PBE-GGA calculation of SrLi2Ca2Sb2 after structural relaxation, from Alexandria.

Cell and atoms, written as CIF:
```
data_SrLi2Ca2Sb2
_chemical_formula_sum 'Sr3 Li6 Ca6 Sb6'
_space_group_name_H-M_alt 'R -3 m'
_space_group_IT_number 166
_space_group_name_Hall '-R 3 2"'
_cell_length_a 4.8639
_cell_length_b 4.8639
_cell_length_c 28.4030
_cell_angle_alpha 90.00
_cell_angle_beta 90.00
_cell_angle_gamma 120.00
loop_
_atom_site_label
_atom_site_type_symbol
_atom_site_fract_x
_atom_site_fract_y
_atom_site_fract_z
_atom_site_occupancy
Sr1 Sr 0.0000 0.0000 0.0000 1
Li1 Li 0.0000 0.0000 0.4238 1
Ca1 Ca 0.0000 0.0000 0.1348 1
Sb1 Sb 0.0000 0.0000 0.2574 1
```



Entry 4:
The following is a PBE-GGA calculation of LiCaSb2Te after structural relaxation, from Alexandria.

Cell and atoms, written as CIF:
```
data_LiCaSb2Te
_chemical_formula_sum 'Li1 Ca1 Sb2 Te1'
_space_group_name_H-M_alt 'P 4/m m m'
_space_group_IT_number 123
_space_group_name_Hall '-P 4 2'
_cell_length_a 4.9916
_cell_length_b 4.9916
_cell_length_c 5.5868
_cell_angle_alpha 90.00
_cell_angle_beta 90.00
_cell_angle_gamma 90.00
loop_
_atom_site_label
_atom_site_type_symbol
_atom_site_fract_x
_atom_site_fract_y
_atom_site_fract_z
_atom_site_occupancy
Li1 Li 0.0000 0.0000 0.0000 1
Ca1 Ca 0.5000 0.5000 0.5000 1
Sb1 Sb 0.0000 0.5000 0.0000 1
Te1 Te 0.0000 0.0000 0.5000 1
```

Results
For the polymorph energy (0 for the lowest one), the calculation gives 0 meV per atom.



| no. | DOS at the Fermi energy (states/eV per atom) | final energy (eV per cell) |
| --- | --- | --- |
| 1 | 0.824 | -82.9 |
| 2 | 0.091 | -35.7 |
| 3 | 0.151 | -68.5 |
| 4 | 0.717 | -16.5 |